Entry 1:
The following is a DFT calculation (GGA-PBE) of a relaxed structure of TbHoCoCu.

a = 4.2274 Å, b = 3.7972 Å, c = 10.1863 Å
α = 90.00°, β = 90.00°, γ = 90.00°
Last column: nearest neighbours and their distance in Å.
Space group Amm2 (No. 38)
Asymmetric unit:
Tb: 0.0000 0.0000 0.0000  3 Co 2.89-2.91, 4 Cu 2.94
Ho: 0.5000 0.0000 0.2812  3 Cu 2.84-2.99, 4 Co 2.92
Co: 0.0000 0.0000 0.7143  2 Cu 2.55
Cu: 0.5000 0.0000 0.5744  2 Co 2.55, 2 Ho 2.84

## Properties
**Relative energy among the computed polymorphs**: 0.000 eV per atom
**N(E_F)**: 6.26 states/eV/cell
**Formation enthalpy at 0 K**: -0.219 eV/atom

Entry 2:
The following is a DFT calculation (GGA-PBE) of a relaxed structure of TbHoCoCu.

a = 6.7999 Å, b = 6.7999 Å, c = 6.7999 Å
α = 90.00°, β = 90.00°, γ = 90.00°
Last column: nearest neighbours and their distance in Å.
Space group F-43m (No. 216)
Asymmetric unit:
Tb: 0.0000 0.0000 0.0000  4 Co 2.94, 4 Cu 2.94
Ho: 0.0000 0.0000 0.5000  4 Co 2.94, 4 Cu 2.94
Co: 0.2500 0.2500 0.7500  4 Tb 2.94, 4 Ho 2.94
Cu: 0.2500 0.2500 0.2500  4 Tb 2.94, 4 Ho 2.94

## Properties
**Relative energy among the computed polymorphs**: 0.029 eV per atom
**N(E_F)**: 13.21 states/eV/cell
**Formation enthalpy at 0 K**: -0.190 eV/atom

Entry 3:
The following is a DFT calculation (GGA-PBE) of a relaxed structure of HoThCoCu.

a = 3.8677 Å, b = 3.7989 Å, c = 11.5337 Å
α = 90.00°, β = 90.00°, γ = 90.00°
Last column: nearest neighbours and their distance in Å.
Space group Amm2 (No. 38)
Asymmetric unit:
Ho: 0.0000 0.0000 0.0000  4 Cu 2.85, 1 Co 2.96
Th: 0.5000 0.0000 0.7235  4 Co 2.74, 2 Cu 2.98
Co: 0.0000 0.0000 0.2563  2 Cu 2.73, 4 Th 2.74, 1 Ho 2.96
Cu: 0.5000 0.0000 0.4228  2 Co 2.73, 4 Ho 2.85, 2 Th 2.98

## Properties
**Relative energy among the computed polymorphs**: 0.000 eV per atom
**N(E_F)**: 5.21 states/eV/cell
**Formation enthalpy at 0 K**: -0.292 eV/atom

Entry 4:
The following is a DFT calculation (GGA-PBE) of a relaxed structure of HoThCoCu.

a = 6.9211 Å, b = 6.9211 Å, c = 6.9211 Å
α = 90.00°, β = 90.00°, γ = 90.00°
Last column: nearest neighbours and their distance in Å.
Space group F-43m (No. 216)
Asymmetric unit:
Ho: 0.0000 0.0000 0.0000  4 Co 3.00, 4 Cu 3.00
Th: 0.0000 0.0000 0.5000  4 Co 3.00, 4 Cu 3.00
Co: 0.2500 0.2500 0.2500  4 Th 3.00, 4 Ho 3.00
Cu: 0.2500 0.2500 0.7500  4 Th 3.00, 4 Ho 3.00

## Properties
**Relative energy among the computed polymorphs**: 0.134 eV per atom
**N(E_F)**: 9.30 states/eV/cell
**Formation enthalpy at 0 K**: -0.159 eV/atom

Entry 5:
The following is a DFT calculation (GGA-PBE) of a relaxed structure of HoTmCoCu.

a = 4.1793 Å, b = 3.7672 Å, c = 10.1246 Å
α = 90.00°, β = 90.00°, γ = 90.00°
Last column: nearest neighbours and their distance in Å.
Space group Amm2 (No. 38)
Asymmetric unit:
Ho: 0.0000 0.0000 0.0000  3 Co 2.88, 4 Cu 2.91
Tm: 0.5000 0.0000 0.2821  3 Cu 2.82-2.96, 4 Co 2.89
Co: 0.0000 0.0000 0.7153  2 Cu 2.53
Cu: 0.5000 0.0000 0.5747  2 Co 2.53, 2 Tm 2.82

## Properties
**Relative energy among the computed polymorphs**: 0.000 eV per atom
**N(E_F)**: 6.22 states/eV/cell
**Formation enthalpy at 0 K**: -0.246 eV/atom

Entry 6:
The following is a DFT calculation (GGA-PBE) of a relaxed structure of HoTmCoCu.

a = 6.7334 Å, b = 6.7334 Å, c = 6.7334 Å
α = 90.00°, β = 90.00°, γ = 90.00°
Last column: nearest neighbours and their distance in Å.
Space group F-43m (No. 216)
Asymmetric unit:
Ho: 0.0000 0.0000 0.0000  4 Co 2.92, 4 Cu 2.92
Tm: 0.0000 0.0000 0.5000  4 Cu 2.92, 4 Co 2.92
Co: 0.2500 0.2500 0.7500  4 Ho 2.92, 4 Tm 2.92
Cu: 0.2500 0.2500 0.2500  4 Ho 2.92, 4 Tm 2.92

## Properties
**Relative energy among the computed polymorphs**: 0.019 eV per atom
**N(E_F)**: 13.69 states/eV/cell
**Formation enthalpy at 0 K**: -0.228 eV/atom

Entry 7:
The following is a DFT calculation (GGA-PBE) of a relaxed structure of YHoCoCu.

a = 6.7999 Å, b = 6.7999 Å, c = 6.7999 Å
α = 90.00°, β = 90.00°, γ = 90.00°
Last column: nearest neighbours and their distance in Å.
Space group F-43m (No. 216)
Asymmetric unit:
Y: 0.0000 0.0000 0.0000  4 Co 2.94, 4 Cu 2.94
Ho: 0.0000 0.0000 0.5000  4 Cu 2.94, 4 Co 2.94
Co: 0.2500 0.2500 0.7500  4 Ho 2.94, 4 Y 2.94
Cu: 0.2500 0.2500 0.2500  4 Ho 2.94, 4 Y 2.94

## Properties
**Relative energy among the computed polymorphs**: 0.029 eV per atom
**N(E_F)**: 13.73 states/eV/cell
**Formation enthalpy at 0 K**: -0.190 eV/atom

Entry 8:
The following is a DFT calculation (GGA-PBE) of a relaxed structure of YHoCoCu.

a = 4.1564 Å, b = 3.8272 Å, c = 10.3183 Å
α = 90.00°, β = 90.00°, γ = 90.00°
Last column: nearest neighbours and their distance in Å.
Space group Amm2 (No. 38)
Asymmetric unit:
Y: 0.0000 0.0000 0.0000  3 Co 2.93-2.94, 4 Cu 2.93
Ho: 0.5000 0.0000 0.7186  3 Cu 2.86-3.04, 4 Co 2.91
Co: 0.0000 0.0000 0.2852  2 Cu 2.52
Cu: 0.5000 0.0000 0.4241  2 Co 2.52

## Properties
**Relative energy among the computed polymorphs**: 0.000 eV per atom
**N(E_F)**: 7.29 states/eV/cell
**Formation enthalpy at 0 K**: -0.220 eV/atom

Entry 9:
The following is a DFT calculation (GGA-PBE) of a relaxed structure of Ho2Zn3CoCu12.

a = 5.1289 Å, b = 5.1289 Å, c = 35.9117 Å
α = 90.00°, β = 90.00°, γ = 120.00°
Last column: nearest neighbours and their distance in Å.
Space group R-3m (No. 166, hexagonal axes)
Asymmetric unit:
Ho: 0.0000 0.0000 0.1460  9 Cu 2.86-3.13, 3 Co 3.05
Zn: 0.0000 0.5000 0.0000  4 Cu 2.52, 4 Zn 2.56
Co: 0.0000 0.0000 0.5000  6 Cu 2.48
Cu: 0.0034 0.5017 0.1108  6 Cu 2.48-2.59, 1 Co 2.48
Cu: 0.0113 0.5057 0.6105  6 Cu 2.48-2.65, 2 Zn 2.52

## Properties
**N(E_F)**: 25.23 states/eV/cell
**Formation enthalpy at 0 K**: 0.065 eV/atom

Entry 10:
The following is a DFT calculation (GGA-PBE) of a relaxed structure of HoZn3CoCu.

a = 7.9208 Å, b = 10.4590 Å, c = 5.2236 Å
α = 90.00°, β = 90.00°, γ = 90.00°
Last column: nearest neighbours and their distance in Å.
Space group Cmcm (No. 63)
Asymmetric unit:
Ho: 0.0000 0.1860 0.2500  3 Co 2.77-2.84, 1 Cu 2.80, 6 Zn 2.93-3.03
Zn: 0.0000 0.3129 0.7500  1 Co 2.44, 1 Cu 2.45
Zn: 0.2430 0.0000 0.0000  2 Cu 2.47, 2 Co 2.47, 2 Zn 2.61
Co: 0.0000 0.0792 0.7500  5 Zn 2.44-2.47
Cu: 0.0000 0.4533 0.2500  5 Zn 2.45-2.47

## Properties
**N(E_F)**: 13.70 states/eV/cell
**Formation enthalpy at 0 K**: -0.014 eV/atom

| no. | calculated total energy (eV/atom) |
| --- | --- |
| 1 | -5.32 |
| 2 | -5.29 |
| 3 | -6.09 |
| 4 | -5.96 |
| 5 | -5.31 |
| 6 | -5.29 |
| 7 | -5.75 |
| 8 | -5.78 |
| 9 | -3.78 |
| 10 | -3.28 |